[1]
A geometry-optimized Tb8CeSm6 structure, computed with PBE.

POSCAR file:
```
Tb8CeSm6
1.0
7.822 0.116 3.774
2.417 7.440 3.774
0.158 0.116 8.683
Tb Ce Sm
8 1 6
direct
0.112 0.718 0.751
0.249 0.888 0.282
0.282 0.249 0.888
0.577 0.577 0.577
0.423 0.423 0.423
0.718 0.751 0.112
0.751 0.112 0.718
0.888 0.282 0.249
0.000 0.000 0.000
0.895 0.460 0.771
0.229 0.105 0.540
0.540 0.229 0.105
0.460 0.771 0.895
0.771 0.895 0.460
0.105 0.540 0.229
```

**Crystal system**: trigonal
**Density**: 7.74 g/cm³
**Calculated formation energy**: 12 kJ/mol of atoms
**Total energy**: -4.627 eV per atom
**SG**: R-3, No. 148



[2]
A geometry-optimized Tb5CeSm12 structure, computed with PBE.

POSCAR file:
```
Tb5CeSm12
1.0
10.832 0.004 -0.038
5.416 9.318 0.902
0.021 1.466 6.065
Tb Ce Sm
5 1 12
direct
0.500 0.000 0.500
0.166 0.668 0.498
0.834 0.332 0.502
0.667 0.666 0.001
0.333 0.334 0.999
0.000 0.000 0.000
0.835 0.000 0.500
0.165 0.000 0.500
0.667 0.000 0.000
0.333 0.000 0.000
0.332 0.668 0.001
0.001 0.668 0.001
0.999 0.332 0.999
0.668 0.332 0.999
0.499 0.333 0.501
0.832 0.667 0.499
0.168 0.333 0.501
0.501 0.667 0.499
```

**Crystal system**: monoclinic
**Density**: 7.61 g/cm³
**Calculated formation energy**: 3 kJ/mol of atoms
**Total energy**: -4.733 eV per atom
**SG**: C2/m, No. 12